(1)
The following is a DFT calculation (GGA-PBE) of Er2CdGaAu4 after structural relaxation.

Lattice parameters (Å, degrees): 4.8903 4.8903 23.6055 90.00 90.00 120.00
Space group R-3m (No. 166, hexagonal axes)
Asymmetric unit:
Er 0.0000 0.0000 0.2505 x6
Cd 0.0000 0.0000 0.5000 x3
Ga 0.0000 0.0000 0.0000 x3
Au 0.0000 0.0000 0.1217 x6
Au 0.0000 0.0000 0.3743 x6

Values from the calculation:
E_tot ... -3.939 eV/atom

***

(2)
The following is a DFT calculation (GGA-PBE) of ErCdGa2Au5 after structural relaxation.

Lattice parameters (Å, degrees): 4.412 4.412 8.978 90.00 90.00 90.00
Space group P4/mmm (No. 123)
Asymmetric unit:
Er 0.000 0.000 0.000 x1
Cd 0.000 0.000 0.500 x1
Ga 0.500 0.500 0.133 x2
Au 0.000 0.500 0.277 x4
Au 0.500 0.500 0.500 x1

Values from the calculation:
E_tot ... -3.466 eV/atom

***

(3)
The following is a DFT calculation (GGA-PBE) of ErCdGeAu after structural relaxation.

Lattice parameters (Å, degrees): 6.963 6.963 6.963 90.00 90.00 90.00
Space group F-43m (No. 216)
Asymmetric unit:
Er 0.000 0.000 0.000 x4
Cd 0.000 0.000 0.500 x4
Ge 0.250 0.250 0.250 x4
Au 0.250 0.250 0.750 x4

Values from the calculation:
E_tot ... -3.831 eV/atom

***

(4)
The following is a DFT calculation (GGA-PBE) of ErHfCdAu after structural relaxation.

Lattice parameters (Å, degrees): 7.073 7.073 7.073 90.00 90.00 90.00
Space group F-43m (No. 216)
Asymmetric unit:
Er 0.000 0.000 0.000 x4
Hf 0.000 0.000 0.500 x4
Cd 0.250 0.250 0.250 x4
Au 0.250 0.250 0.750 x4

Values from the calculation:
E_tot ... -4.968 eV/atom

***

(5)
The following is a DFT calculation (GGA-PBE) of ErCdHgAu after structural relaxation.

Lattice parameters (Å, degrees): 7.036 7.036 7.036 90.00 90.00 90.00
Space group F-43m (No. 216)
Asymmetric unit:
Er 0.000 0.000 0.000 x4
Cd 0.000 0.000 0.500 x4
Hg 0.250 0.250 0.750 x4
Au 0.250 0.250 0.250 x4

Values from the calculation:
E_tot ... -2.776 eV/atom

***

(6)
The following is a DFT calculation (GGA-PBE) of Er4CdHgAu2 after structural relaxation.

Lattice parameters (Å, degrees): 5.1346 5.1346 25.1666 90.00 90.00 120.00
Space group R-3m (No. 166, hexagonal axes)
Asymmetric unit:
Er 0.0000 0.0000 0.1235 x6
Er 0.0000 0.0000 0.3737 x6
Cd 0.0000 0.0000 0.5000 x3
Hg 0.0000 0.0000 0.0000 x3
Au 0.0000 0.0000 0.2452 x6

Values from the calculation:
E_tot ... -3.878 eV/atom

***

(7)
The following is a DFT calculation (GGA-PBE) of HoErCdAu after structural relaxation.

Lattice parameters (Å, degrees): 7.285 7.285 7.285 90.00 90.00 90.00
Space group F-43m (No. 216)
Asymmetric unit:
Ho 0.000 0.000 0.000 x4
Er 0.000 0.000 0.500 x4
Cd 0.250 0.250 0.250 x4
Au 0.250 0.250 0.750 x4

Values from the calculation:
E_tot ... -3.901 eV/atom

***

(8)
The following is a DFT calculation (GGA-PBE) of HoErCdAu after structural relaxation.

Lattice parameters (Å, degrees): 3.659 3.659 7.226 90.00 90.00 90.00
Space group P4mm (No. 99)
Asymmetric unit:
Ho 0.000 0.000 0.000 x1
Er 0.000 0.000 0.526 x1
Cd 0.500 0.500 0.265 x1
Au 0.500 0.500 0.760 x1

Values from the calculation:
E_tot ... -3.931 eV/atom

***

(9)
The following is a DFT calculation (GGA-PBE) of Ho2ErCdAu4 after structural relaxation.

Lattice parameters (Å, degrees): 4.9863 4.9863 24.6752 90.00 90.00 120.00
Space group R-3m (No. 166, hexagonal axes)
Asymmetric unit:
Ho 0.0000 0.0000 0.2434 x6
Er 0.0000 0.0000 0.0000 x3
Cd 0.0000 0.0000 0.5000 x3
Au 0.0000 0.0000 0.1202 x6
Au 0.0000 0.0000 0.3666 x6

Values from the calculation:
E_tot ... -4.258 eV/atom

***

(10)
The following is a DFT calculation (GGA-PBE) of Er4CdIn2Au after structural relaxation.

Lattice parameters (Å, degrees): 5.2184 5.2184 25.5271 90.00 90.00 120.00
Space group R-3m (No. 166, hexagonal axes)
Asymmetric unit:
Er 0.0000 0.0000 0.1202 x6
Er 0.0000 0.0000 0.3710 x6
Cd 0.0000 0.0000 0.5000 x3
In 0.0000 0.0000 0.2456 x6
Au 0.0000 0.0000 0.0000 x3

Values from the calculation:
E_tot ... -4.003 eV/atom

***

(11)
The following is a DFT calculation (GGA-PBE) of LaErCdAu after structural relaxation.

Lattice parameters (Å, degrees): 7.505 7.505 7.505 90.00 90.00 90.00
Space group F-43m (No. 216)
Asymmetric unit:
La 0.000 0.000 0.000 x4
Er 0.000 0.000 0.500 x4
Cd 0.250 0.250 0.250 x4
Au 0.250 0.250 0.750 x4

Values from the calculation:
E_tot ... -3.946 eV/atom

***

(12)
The following is a DFT calculation (GGA-PBE) of Li2ErCdAu2 after structural relaxation.

Lattice parameters (Å, degrees): 4.5337 4.5337 6.4650 90.00 90.00 120.00
Space group P-3m1 (No. 164)
Asymmetric unit:
Li 0.3333 0.6667 0.1679 x2
Er 0.0000 0.0000 0.5000 x1
Cd 0.0000 0.0000 0.0000 x1
Au 0.3333 0.6667 0.7386 x2

Values from the calculation:
E_tot ... -3.199 eV/atom